4
Lattice="-2.2758 -2.0200 3.0040 1.8953 -2.8511 2.5619 1.3976 3.5586 6.4949" Properties=species:S:1:pos:R:3 comment="LaZrSb2, optimized geometry, DFT GGA-PBEsol" total_energy_ha_per_atom=-0.25108 m_tot_mub_per_atom=0.000 spacegroup="No. 166" pbc="T T T"
Sb 0.7199 -1.1302 8.9151
Zr 0.5085 -0.6563 6.0304
Sb 0.2971 -0.1823 3.1458
La 0.0000 0.0000 0.0000